(1)
A plane-wave DFT calculation with PBE was carried out for a geometry-optimized V2CrReH structure.

Geometry as POSCAR:
```
V2CrReH
1.0
4.188 0.000 0.000
0.000 4.188 0.000
0.000 0.000 3.169
H Re V Cr
1 1 2 1
Cartesian
0.000 0.000 0.000
2.094 2.094 1.585
0.000 2.094 0.000
2.094 0.000 0.000
0.000 0.000 1.585
```

Computed properties:
* crystal system: tetragonal
* VASP energy: -0.325 hartree per atom
* spin magnetization: 0.0 μB per formula unit


(2)
A plane-wave DFT calculation with PBE was carried out for a geometry-optimized InGeCl3 structure.

Geometry as POSCAR:
```
InGeCl3
1.0
3.530 -9.142 0.000
3.530 9.142 0.000
0.000 0.000 7.822
In Cl Ge
2 6 2
Cartesian
3.530 7.227 1.956
3.530 -7.227 5.867
5.213 -3.453 5.867
1.847 -3.453 5.867
0.000 0.000 3.911
5.213 3.453 1.956
0.000 0.000 0.000
1.847 3.453 1.956
3.530 2.020 1.956
3.530 -2.020 5.867
```

Computed properties:
* crystal system: orthorhombic
* E_form (uncorrected): -0.622 eV per atom
* spin magnetization: 0.0 μB per formula unit


(3)
A plane-wave DFT calculation with PBE was carried out for a geometry-optimized Tc2IrBr structure.

Geometry as POSCAR:
```
Tc2IrBr
1.0
-3.228 0.828 2.201
0.827 -1.945 1.944
3.279 2.969 3.691
Tc Br Ir
2 1 1
Cartesian
0.836 -1.739 1.880
-0.575 0.494 2.594
2.104 0.001 3.084
1.393 1.663 5.039
```

Computed properties:
* crystal system: monoclinic
* E_form (uncorrected): 0.645 eV per atom
* spin magnetization: 0.0 μB per formula unit
* offset from the most stable computed form: 62 kJ/mol of formula units


Number 1: density of states at the Fermi level 0.78 states/eV per atom. Number 2: density of states at the Fermi level 0.00 states/eV per atom. Number 3: density of states at the Fermi level 1.04 states/eV per atom.